(1)
Entry from Alexandria: a PBEsol-optimized structure of TlAsPb2 (meta-GGA SCAN).

Calculated values
Calculated total energy (eV/atom): -60.94
Energy of formation (eV per atom): 0.089
Magnetic moment (Bohr magnetons per cell): 0.00

Cell and atoms, written as CIF:
```
data_TlAsPb2
_cell_length_a 11.836
_cell_length_b 3.890
_cell_length_c 5.263
_cell_angle_alpha 90.00
_cell_angle_beta 116.23
_cell_angle_gamma 90.00
_space_group_name_H-M_alt 'C 1 2/m 1'
_space_group_IT_number 12
loop_
_space_group_symop_operation_xyz
'x,y,z'
'-x,-y,-z'
'-x,y,-z'
'x,-y,z'
'x+1/2,y+1/2,z'
'-x+1/2,-y+1/2,-z'
'-x+1/2,y+1/2,-z'
'x+1/2,-y+1/2,z'
loop_
_atom_site_label
_atom_site_type_symbol
_atom_site_fract_x
_atom_site_fract_y
_atom_site_fract_z
Tl1 Tl 0.000 0.000 0.000
As1 As 0.000 0.500 0.500
Pb1 Pb 0.211 0.000 0.711
```

=====

(2)
Entry from Alexandria: a PBEsol-optimized structure of Ti2CrPOs (meta-GGA SCAN).

Calculated values
Calculated total energy (eV/atom): -26.34
Energy of formation (eV per atom): 0.207
Magnetic moment (Bohr magnetons per cell): 1.41

Cell and atoms, written as CIF:
```
data_Ti2CrPOs
_cell_length_a 4.409
_cell_length_b 4.409
_cell_length_c 4.047
_cell_angle_alpha 90.00
_cell_angle_beta 90.00
_cell_angle_gamma 90.00
_space_group_name_H-M_alt 'P 4/m m m'
_space_group_IT_number 123
_space_group_name_Hall '-P 4 2'
loop_
_atom_site_label
_atom_site_type_symbol
_atom_site_fract_x
_atom_site_fract_y
_atom_site_fract_z
Ti1 Ti 0.000 0.500 0.000
Cr1 Cr 0.000 0.000 0.500
P1 P 0.000 0.000 0.000
Os1 Os 0.500 0.500 0.500
```

=====

(3)
Entry from Alexandria: a PBEsol-optimized structure of TcAsPt (meta-GGA SCAN).

Calculated values
Calculated total energy (eV/atom): -41.97
Energy of formation (eV per atom): -0.158
Magnetic moment (Bohr magnetons per cell): 0.00

Cell and atoms, written as CIF:
```
data_TcAsPt
_cell_length_a 5.772
_cell_length_b 5.772
_cell_length_c 5.772
_cell_angle_alpha 90.00
_cell_angle_beta 90.00
_cell_angle_gamma 90.00
_space_group_name_H-M_alt 'F -4 3 m'
_space_group_IT_number 216
_space_group_name_Hall 'F -4 2 3'
loop_
_atom_site_label
_atom_site_type_symbol
_atom_site_fract_x
_atom_site_fract_y
_atom_site_fract_z
Tc1 Tc 0.000 0.000 0.000
As1 As 0.250 0.250 0.250
Pt1 Pt 0.000 0.000 0.500
```

=====

(4)
Entry from Alexandria: a PBEsol-optimized structure of Sr2CdAg (meta-GGA SCAN).

Calculated values
Calculated total energy (eV/atom): -26.89
Energy of formation (eV per atom): -0.311
Magnetic moment (Bohr magnetons per cell): 0.00

Cell and atoms, written as CIF:
```
data_Sr2CdAg
_cell_length_a 5.480
_cell_length_b 5.480
_cell_length_c 3.952
_cell_angle_alpha 90.00
_cell_angle_beta 90.00
_cell_angle_gamma 90.00
_space_group_name_H-M_alt 'P 4/m m m'
_space_group_IT_number 123
_space_group_name_Hall '-P 4 2'
loop_
_atom_site_label
_atom_site_type_symbol
_atom_site_fract_x
_atom_site_fract_y
_atom_site_fract_z
Sr1 Sr 0.000 0.500 0.000
Cd1 Cd 0.000 0.000 0.500
Ag1 Ag 0.500 0.500 0.500
```

=====

(5)
Entry from Alexandria: a PBEsol-optimized structure of LiCaSb2 (meta-GGA SCAN).

Calculated values
ΔE_f (raw) (kJ per mole of atoms): -54
Calculated total energy (eV/atom): -22.20
Magnetic moment (Bohr magnetons per cell): 0.00

Cell and atoms, written as CIF:
```
data_LiCaSb2
_cell_length_a 7.356
_cell_length_b 7.356
_cell_length_c 7.356
_cell_angle_alpha 90.00
_cell_angle_beta 90.00
_cell_angle_gamma 90.00
_space_group_name_H-M_alt 'F m -3 m'
_space_group_IT_number 225
_space_group_name_Hall '-F 4 2 3'
loop_
_atom_site_label
_atom_site_type_symbol
_atom_site_fract_x
_atom_site_fract_y
_atom_site_fract_z
Li1 Li 0.000 0.000 0.000
Ca1 Ca 0.000 0.000 0.500
Sb1 Sb 0.250 0.250 0.250
```

=====

(6)
Entry from Alexandria: a PBEsol-optimized structure of SnGeWO2 (meta-GGA SCAN).

Calculated values
ΔE_f (raw) (kJ per mole of atoms): 37
Calculated total energy (eV/atom): -27.04
Magnetic moment (Bohr magnetons per cell): 2.06

Cell and atoms, written as CIF:
```
data_SnGeWO2
_cell_length_a 3.822
_cell_length_b 3.822
_cell_length_c 5.982
_cell_angle_alpha 90.00
_cell_angle_beta 90.00
_cell_angle_gamma 90.00
_space_group_name_H-M_alt 'P 4/m m m'
_space_group_IT_number 123
_space_group_name_Hall '-P 4 2'
loop_
_atom_site_label
_atom_site_type_symbol
_atom_site_fract_x
_atom_site_fract_y
_atom_site_fract_z
Sn1 Sn 0.000 0.000 0.000
Ge1 Ge 0.500 0.500 0.500
W1 W 0.000 0.000 0.500
O1 O 0.000 0.500 0.000
```

=====

(7)
Entry from Alexandria: a PBEsol-optimized structure of TcSb2Au (meta-GGA SCAN).

Calculated values
ΔE_f (raw) (kJ per mole of atoms): 23
Calculated total energy (eV/atom): -44.44
Magnetic moment (Bohr magnetons per cell): 0.00

Cell and atoms, written as CIF:
```
data_TcSb2Au
_cell_length_a 3.420
_cell_length_b 4.086
_cell_length_c 5.586
_cell_angle_alpha 90.00
_cell_angle_beta 90.00
_cell_angle_gamma 90.00
_space_group_name_H-M_alt 'P m m 2'
_space_group_IT_number 25
loop_
_space_group_symop_operation_xyz
'x,y,z'
'-x,-y,z'
'-x,y,z'
'x,-y,z'
loop_
_atom_site_label
_atom_site_type_symbol
_atom_site_fract_x
_atom_site_fract_y
_atom_site_fract_z
Tc1 Tc 0.000 0.000 0.000
Sb1 Sb 0.000 0.000 0.491
Sb2 Sb 0.500 0.500 0.860
Au1 Au 0.500 0.500 0.337
```

=====

(8)
Entry from Alexandria: a PBEsol-optimized structure of LaAs2H (meta-GGA SCAN).

Calculated values
Calculated total energy (eV/atom): -21.62
Magnetic moment (Bohr magnetons per cell): 4.07

Cell and atoms, written as CIF:
```
data_LaAs2H
_cell_length_a 6.875
_cell_length_b 6.875
_cell_length_c 6.875
_cell_angle_alpha 90.00
_cell_angle_beta 90.00
_cell_angle_gamma 90.00
_space_group_name_H-M_alt 'F m -3 m'
_space_group_IT_number 225
_space_group_name_Hall '-F 4 2 3'
loop_
_atom_site_label
_atom_site_type_symbol
_atom_site_fract_x
_atom_site_fract_y
_atom_site_fract_z
La1 La 0.000 0.000 0.000
As1 As 0.250 0.250 0.250
H1 H 0.000 0.000 0.500
```

=====

(9)
Entry from Alexandria: a PBEsol-optimized structure of YRe2SnSe (meta-GGA SCAN).

Calculated values
ΔE_f (raw) (kJ per mole of atoms): 250
Calculated total energy (eV/atom): -42.62
Magnetic moment (Bohr magnetons per cell): 4.45

Cell and atoms, written as CIF:
```
data_YRe2SnSe
_cell_length_a 4.866
_cell_length_b 4.866
_cell_length_c 5.560
_cell_angle_alpha 90.00
_cell_angle_beta 90.00
_cell_angle_gamma 90.00
_space_group_name_H-M_alt 'P 4/m m m'
_space_group_IT_number 123
_space_group_name_Hall '-P 4 2'
loop_
_atom_site_label
_atom_site_type_symbol
_atom_site_fract_x
_atom_site_fract_y
_atom_site_fract_z
Y1 Y 0.000 0.000 0.000
Re1 Re 0.000 0.500 0.000
Sn1 Sn 0.000 0.000 0.500
Se1 Se 0.500 0.500 0.500
```

=====

(10)
Entry from Alexandria: a PBEsol-optimized structure of Si2OsCl (meta-GGA SCAN).

Calculated values
ΔE_f (raw) (kJ per mole of atoms): 15
Calculated total energy (eV/atom): -24.81
Magnetic moment (Bohr magnetons per cell): 0.00

Cell and atoms, written as CIF:
```
data_Si2OsCl
_cell_length_a 2.946
_cell_length_b 2.946
_cell_length_c 6.960
_cell_angle_alpha 90.00
_cell_angle_beta 90.00
_cell_angle_gamma 90.00
_space_group_name_H-M_alt 'P 4/m m m'
_space_group_IT_number 123
_space_group_name_Hall '-P 4 2'
loop_
_atom_site_label
_atom_site_type_symbol
_atom_site_fract_x
_atom_site_fract_y
_atom_site_fract_z
Si1 Si 0.000 0.000 0.209
Os1 Os 0.500 0.500 0.000
Cl1 Cl 0.500 0.500 0.500
```

=====

(11)
Entry from Alexandria: a PBEsol-optimized structure of ZnFe3 (meta-GGA SCAN).

Calculated values
Calculated total energy (eV/atom): -16.99
Energy of formation (eV per atom): -0.016
Magnetic moment (Bohr magnetons per cell): 15.00

Cell and atoms, written as CIF:
```
data_ZnFe3
_cell_length_a 2.898
_cell_length_b 3.935
_cell_length_c 7.963
_cell_angle_alpha 90.00
_cell_angle_beta 90.00
_cell_angle_gamma 90.00
_space_group_name_H-M_alt 'C m m m'
_space_group_IT_number 65
_space_group_name_Hall '-C 2 2'
loop_
_atom_site_label
_atom_site_type_symbol
_atom_site_fract_x
_atom_site_fract_y
_atom_site_fract_z
Zn1 Zn 0.000 0.000 0.000
Fe1 Fe 0.000 0.000 0.500
Fe2 Fe 0.000 0.500 0.257
```

=====

(12)
Entry from Alexandria: a PBEsol-optimized structure of MnAs2Ru (meta-GGA SCAN).

Calculated values
Calculated total energy (eV/atom): -23.52
Energy of formation (eV per atom): -0.154
Magnetic moment (Bohr magnetons per cell): 5.70

Cell and atoms, written as CIF:
```
data_MnAs2Ru
_cell_length_a 4.612
_cell_length_b 2.941
_cell_length_c 8.618
_cell_angle_alpha 90.00
_cell_angle_beta 90.00
_cell_angle_gamma 90.00
_space_group_name_H-M_alt 'A m m 2'
_space_group_IT_number 38
loop_
_space_group_symop_operation_xyz
'x,y,z'
'-x,-y,z'
'-x,y,z'
'x,-y,z'
'x,y+1/2,z+1/2'
'-x,-y+1/2,z+1/2'
'-x,y+1/2,z+1/2'
'x,-y+1/2,z+1/2'
loop_
_atom_site_label
_atom_site_type_symbol
_atom_site_fract_x
_atom_site_fract_y
_atom_site_fract_z
Mn1 Mn 0.000 0.000 0.000
As1 As 0.000 0.000 0.711
As2 As 0.500 0.000 0.879
Ru1 Ru 0.500 0.000 0.592
```